# 1
This record from Alexandria via LeMat-Bulk describes crystalline CaAs at its relaxed geometry. The functional is GGA-PBE.

Results
formation energy from the elements: -739 meV per atom

Unit cell a=5.3044 b=7.9723 c=12.4059 alpha=90.00 beta=90.00 gamma=90.00
Positions (direct):
Ca (0.8807, 0.6942, 0.0836)
Ca (0.6193, 0.8058, 0.5836)
Ca (0.3807, 0.8058, 0.9164)
Ca (0.1193, 0.6942, 0.4164)
Ca (0.1193, 0.3058, 0.9164)
Ca (0.3807, 0.1942, 0.4164)
Ca (0.6193, 0.1942, 0.0836)
Ca (0.8807, 0.3058, 0.5836)
As (0.8881, 0.0333, 0.4105)
As (0.6119, 0.4667, 0.9105)
As (0.3881, 0.4667, 0.5895)
As (0.1119, 0.0333, 0.0895)
As (0.1119, 0.9667, 0.5895)
As (0.3881, 0.5333, 0.0895)
As (0.6119, 0.5333, 0.4105)
As (0.8881, 0.9667, 0.9105)

# 2
This record from Alexandria via LeMat-Bulk describes crystalline Ca2As at its relaxed geometry. The functional is GGA-PBE.

Results
formation energy from the elements: -855 meV per atom
polymorph energy (0 for the lowest one): 92 meV/atom

Unit cell a=7.9745 b=7.9745 c=4.4532 alpha=90.00 beta=90.00 gamma=120.00
Last column: magnetic moment on the atom in μB.
Positions (direct):
Ca (0.2635, 0.0000, 0.0000)  0.14
Ca (0.0000, 0.2635, 0.0000)  0.14
Ca (0.7365, 0.7365, 0.0000)  0.14
Ca (0.5962, 0.0000, 0.5000)  0.14
Ca (0.0000, 0.5962, 0.5000)  0.14
Ca (0.4038, 0.4038, 0.5000)  0.14
As (0.3333, 0.6667, 0.0000)  -0.02
As (0.6667, 0.3333, 0.0000)  -0.02
As (0.0000, 0.0000, 0.5000)  -0.04

# 3
This record from Alexandria via LeMat-Bulk describes crystalline CaAs3 at its relaxed geometry. The functional is GGA-PBE.

Results
formation energy from the elements: -366 meV per atom

Unit cell a=6.2614 b=6.2614 c=5.6178 alpha=90.00 beta=90.00 gamma=120.00
Positions (direct):
Ca (0.3333, 0.6667, 0.2500)
Ca (0.6667, 0.3333, 0.7500)
As (0.8025, 0.6050, 0.2500)
As (0.3950, 0.1975, 0.2500)
As (0.8025, 0.1975, 0.2500)
As (0.1975, 0.3950, 0.7500)
As (0.6050, 0.8025, 0.7500)
As (0.1975, 0.8025, 0.7500)

# 4
This record from Alexandria via LeMat-Bulk describes crystalline CaAs at its relaxed geometry. The functional is GGA-PBE.

Results
formation energy from the elements: -469 meV per atom

Unit cell a=11.9650 b=11.9650 c=4.3014 alpha=90.00 beta=90.00 gamma=90.00
Positions (direct):
Ca (0.4498, 0.8077, 0.0000)
Ca (0.5502, 0.1923, 0.0000)
Ca (0.1923, 0.4498, 0.0000)
Ca (0.8077, 0.5502, 0.0000)
Ca (0.9498, 0.3077, 0.5000)
Ca (0.0502, 0.6923, 0.5000)
Ca (0.6923, 0.9498, 0.5000)
Ca (0.3077, 0.0502, 0.5000)
As (0.3091, 0.2375, 0.0000)
As (0.6909, 0.7625, 0.0000)
As (0.7625, 0.3091, 0.0000)
As (0.2375, 0.6909, 0.0000)
As (0.8091, 0.7375, 0.5000)
As (0.1909, 0.2625, 0.5000)
As (0.2625, 0.8091, 0.5000)
As (0.7375, 0.1909, 0.5000)

# 5
This record from Alexandria via LeMat-Bulk describes crystalline Ca2As at its relaxed geometry. The functional is GGA-PBE.

Results
formation energy from the elements: -826 meV per atom
polymorph energy (0 for the lowest one): 121 meV/atom

Unit cell a=9.2791 b=9.2791 c=5.8059 alpha=90.00 beta=90.00 gamma=152.69
Positions (direct):
Ca (0.2075, 0.7925, 0.7500)
Ca (0.4206, 0.5794, 0.7500)
Ca (0.5794, 0.4206, 0.2500)
Ca (0.7925, 0.2075, 0.2500)
As (0.8184, 0.1816, 0.7500)
As (0.1816, 0.8184, 0.2500)

# 6
This record from Alexandria via LeMat-Bulk describes crystalline Ca2As at its relaxed geometry. The functional is GGA-PBE.

Results
formation energy from the elements: 110 meV per atom
polymorph energy (0 for the lowest one): 1057 meV/atom

Unit cell a=6.2095 b=6.2095 c=6.2095 alpha=60.00 beta=60.00 gamma=60.00
Positions (direct):
Ca (0.6250, 0.1250, 0.1250)
Ca (0.1250, 0.6250, 0.1250)
Ca (0.1250, 0.1250, 0.6250)
Ca (0.1250, 0.1250, 0.1250)
As (0.5000, 0.5000, 0.5000)
As (0.7500, 0.7500, 0.7500)

# 7
This record from Alexandria via LeMat-Bulk describes crystalline Ca2As at its relaxed geometry. The functional is GGA-PBE.

Results
formation energy from the elements: -853 meV per atom
polymorph energy (0 for the lowest one): 94 meV/atom

Unit cell a=7.5874 b=7.5874 c=6.6104 alpha=64.20 beta=64.20 gamma=31.74
Positions (direct):
Ca (0.5002, 0.5002, 0.2765)
Ca (0.2070, 0.2070, 0.7928)
Ca (0.4998, 0.4998, 0.7235)
Ca (0.7930, 0.7930, 0.2072)
As (0.8592, 0.8592, 0.6404)
As (0.1408, 0.1408, 0.3596)

# 8
This record from Alexandria via LeMat-Bulk describes crystalline CaAs4 at its relaxed geometry. The functional is GGA-PBE.

Results
formation energy from the elements: -300 meV per atom
polymorph energy (0 for the lowest one): 0 meV/atom

Unit cell a=5.9161 b=5.9161 c=5.9161 alpha=95.45 beta=95.45 gamma=144.09
Positions (direct):
Ca (0.0000, 0.0000, 0.0000)
As (0.1979, 0.6558, 0.8537)
As (0.6558, 0.8021, 0.4580)
As (0.8021, 0.3442, 0.1463)
As (0.3442, 0.1979, 0.5420)

Going through the records in order, we get density values of 2.91; 3.15; 4.61; 2.48; 2.25; 3.04; 2.88; 4.88 Mg/m³.